A relaxed Y2NpBiO8 crystal. Source: Alexandria, functional PBE-GGA.

Computed properties:
magnetic moment: 0.14 μB per formula unit
formation energy from raw total energies: -2.683 eV per atom

Cell lengths 7.2017, 7.3293, 7.0780 Å; angles 90.00, 90.00, 90.00 degrees
Space group Cmmm (No. 65)
Unique sites:
Y 0.0000 0.0000 0.2440
Np 0.0000 0.5000 0.5000
Bi 0.0000 0.5000 0.0000
O 0.0000 0.3141 0.2829
O 0.1867 0.0000 0.0000
O 0.2184 0.0000 0.5000

***

A relaxed YNpBi2O8 crystal. Source: Alexandria, functional PBE-GGA.

Computed properties:
magnetic moment: 0.06 μB per formula unit
formation energy from raw total energies: -2.207 eV per atom

Cell lengths 5.2688, 7.0350, 5.2716 Å; angles 90.00, 90.32, 90.00 degrees
Space group P2/m (No. 10)
Unique sites:
Y 0.0000 0.0000 0.0000
Np 0.0000 0.5000 0.0000
Bi 0.5000 0.2397 0.5000
O 0.1794 0.2687 0.1806
O 0.2592 0.5000 0.7431
O 0.3083 0.0000 0.6928

***

A relaxed Np2BiOs crystal. Source: Alexandria, functional PBE-GGA.

Computed properties:
magnetic moment: 6.97 μB per formula unit
formation enthalpy at 0 K: 0.885 eV per formula unit

Cell lengths 3.8010, 3.8010, 6.2788 Å; angles 90.00, 90.00, 90.00 degrees
Space group P4/mmm (No. 123)
Unique sites:
Np 0.0000 0.0000 0.2109
Bi 0.5000 0.5000 0.5000
Os 0.5000 0.5000 0.0000

***

A relaxed Np2BiP crystal. Source: Alexandria, functional PBE-GGA.

Computed properties:
magnetic moment: 7.89 μB per formula unit
formation enthalpy at 0 K: -1.385 eV per formula unit

Cell lengths 4.2240, 4.2240, 20.7542 Å; angles 90.00, 90.00, 120.00 degrees
Space group R-3m (No. 166, hexagonal axes)
Unique sites:
Np 0.0000 0.0000 0.2355
Bi 0.0000 0.0000 0.0000
P 0.0000 0.0000 0.5000

***

A relaxed NpBiP2 crystal. Source: Alexandria, functional PBE-GGA.

Computed properties:
magnetic moment: 2.53 μB per formula unit
formation enthalpy at 0 K: -0.022 eV per formula unit

Cell lengths 3.9621, 3.9621, 25.0437 Å; angles 90.00, 90.00, 120.00 degrees
Space group R-3m (No. 166, hexagonal axes)
Unique sites:
Np 0.0000 0.0000 0.0000
Bi 0.0000 0.0000 0.5000
P 0.0000 0.0000 0.3893

***

A relaxed Np2BiP crystal. Source: Alexandria, functional PBE-GGA.

Computed properties:
magnetic moment: 8.59 μB per formula unit
formation enthalpy at 0 K: -1.246 eV per formula unit

Cell lengths 3.7716, 3.7716, 25.2185 Å; angles 90.00, 90.00, 120.00 degrees
Space group R3m (No. 160, hexagonal axes)
Unique sites:
Np 0.0000 0.0000 0.0000
Np 0.0000 0.0000 0.1982
Bi 0.0000 0.0000 0.7659
P 0.0000 0.0000 0.5990